1) Compound: LiGdOs
Source: OQMD via LeMat-Bulk
Functional: GGA-PBE
Structure: relaxed

Cell and atoms, written as POSCAR:
```
LiGdOs
1.0
0.000 3.042 3.042
3.042 0.000 3.042
3.042 3.042 0.000
Gd Li Os
1 1 1
Direct
0.250 0.250 0.250 Gd
0.000 0.000 0.000 Li
0.750 0.750 0.750 Os
```

2) Compound: LiGdOs
Source: OQMD via LeMat-Bulk
Functional: GGA-PBE
Structure: relaxed

Cell and atoms, written as POSCAR:
```
LiGdOs
1.0
0.000 3.207 3.207
3.207 0.000 3.207
3.207 3.207 0.000
Gd Li Os
1 1 1
Direct
0.000 0.000 0.000 Gd
0.250 0.250 0.250 Li
0.750 0.750 0.750 Os
```

We find 1) to be the most stable, with the next structure 0.352 eV/atom higher.